# 1
Entry from Alexandria: a relaxed structure of LaPrMgTl (PBE).

Calculated volume   30.739 Å³/atom
VASP energy   -3.689 eV/atom

a = 5.5816 Å, b = 5.5816 Å, c = 5.5816 Å
α = 60.00°, β = 60.00°, γ = 60.00°
Closest atoms and distances in Å follow each position.
Sites, in units of the cell vectors:
La  0.0000  0.0000  0.0000  4 Tl 3.42, 4 Mg 3.42
Pr  0.5000  0.5000  0.5000  4 Tl 3.42, 4 Mg 3.42
Mg  0.2500  0.2500  0.2500  4 La 3.42, 4 Pr 3.42
Tl  0.7500  0.7500  0.7500  4 La 3.42, 4 Pr 3.42

# 2
Entry from Alexandria: a relaxed structure of Pr2DyI (PBE).

Polymorph energy (0 for the lowest one)   52 meV per atom
Calculated volume   33.985 Å³/atom

a = 3.7289 Å, b = 3.7289 Å, c = 9.7767 Å
α = 90.00°, β = 90.00°, γ = 90.00°
Closest atoms and distances in Å follow each position.
Sites, in units of the cell vectors:
Pr  0.0000  0.0000  0.2424  4 I 3.55, 4 Dy 3.65, 4 Pr 3.73
Pr  0.0000  0.0000  0.7576  4 I 3.55, 4 Dy 3.65, 4 Pr 3.73
Dy  0.5000  0.5000  0.5000  8 Pr 3.65, 4 Dy 3.73
I  0.5000  0.5000  0.0000  8 Pr 3.55, 4 I 3.73

# 3
Entry from Alexandria: a relaxed structure of NpZn2Pb (PBE).

Calculated volume   22.289 Å³/atom
VASP energy   -4.620 eV/atom

a = 4.5177 Å, b = 4.5177 Å, c = 4.3684 Å
α = 90.00°, β = 90.00°, γ = 90.00°
Closest atoms and distances in Å follow each position.
Sites, in units of the cell vectors:
Np  0.0000  0.0000  0.0000  8 Zn 3.14, 4 Pb 3.19
Zn  0.0000  0.5000  0.5000  4 Pb 3.14, 4 Np 3.14, 4 Zn 3.19
Zn  0.5000  0.0000  0.5000  4 Pb 3.14, 4 Np 3.14, 4 Zn 3.19
Pb  0.5000  0.5000  0.0000  8 Zn 3.14, 4 Np 3.19

# 4
Entry from Alexandria: a relaxed structure of Y4TaFe (PBE).

Calculated volume   26.458 Å³/atom
VASP energy   -6.625 eV/atom

a = 6.0778 Å, b = 6.0778 Å, c = 6.0778 Å
α = 60.00°, β = 60.00°, γ = 60.00°
Closest atoms and distances in Å follow each position.
Sites, in units of the cell vectors:
Y  0.1254  0.1254  0.1254  6 Y 3.03-3.05
Y  0.1254  0.1254  0.6238  6 Y 3.03-3.05
Y  0.1254  0.6238  0.1254  6 Y 3.03-3.05
Y  0.6238  0.1254  0.1254  6 Y 3.03-3.05
Ta  0.5000  0.5000  0.5000  12 Y 3.56, 4 Fe 3.72
Fe  0.7500  0.7500  0.7500  12 Y 3.56, 4 Ta 3.72

# 5
Entry from Alexandria: a relaxed structure of Ba4SiMo (PBE).

Calculated volume   40.581 Å³/atom
VASP energy   -2.810 eV/atom

a = 7.0091 Å, b = 7.0091 Å, c = 7.0091 Å
α = 60.00°, β = 60.00°, γ = 60.00°
Closest atoms and distances in Å follow each position.
Sites, in units of the cell vectors:
Ba  0.3759  0.3759  0.3759  6 Ba 3.48-3.53
Ba  0.3759  0.3759  0.8722  6 Ba 3.48-3.53
Ba  0.3759  0.8722  0.3759  6 Ba 3.48-3.53
Ba  0.8722  0.3759  0.3759  6 Ba 3.48-3.53
Si  0.7500  0.7500  0.7500  12 Ba 4.11, 4 Mo 4.29
Mo  0.0000  0.0000  0.0000  12 Ba 4.11, 4 Si 4.29

# 6
Entry from Alexandria: a relaxed structure of BaHoAgI6 (PBE).

Calculated volume   44.900 Å³/atom
VASP energy   -3.289 eV/atom

a = 7.8737 Å, b = 7.8737 Å, c = 15.0533 Å
α = 90.00°, β = 90.00°, γ = 120.00°
Closest atoms and distances in Å follow each position.
Sites, in units of the cell vectors:
Ba  0.0000  0.0000  0.0000  6 I 3.50
Ba  0.0000  0.0000  0.5000  6 I 3.50
Ho  0.3333  0.6667  0.2500  6 I 3.04
Ho  0.6667  0.3333  0.7500  6 I 3.04
Ag  0.3333  0.6667  0.7500  6 I 3.09
Ag  0.6667  0.3333  0.2500  6 I 3.09
I  0.0051  0.3656  0.1342  1 Ho 3.04, 1 Ag 3.09
I  0.0051  0.6395  0.3658  1 Ho 3.04, 1 Ag 3.09
I  0.3605  0.3656  0.3658  1 Ho 3.04, 1 Ag 3.09
I  0.3605  0.9949  0.1342  1 Ho 3.04, 1 Ag 3.09
I  0.3656  0.0051  0.6342  1 Ho 3.04, 1 Ag 3.09
I  0.3656  0.3605  0.8658  1 Ho 3.04, 1 Ag 3.09
I  0.6344  0.6395  0.1342  1 Ho 3.04, 1 Ag 3.09
I  0.6344  0.9949  0.3658  1 Ho 3.04, 1 Ag 3.09
I  0.6395  0.0051  0.8658  1 Ho 3.04, 1 Ag 3.09
I  0.6395  0.6344  0.6342  1 Ho 3.04, 1 Ag 3.09
I  0.9949  0.3605  0.6342  1 Ho 3.04, 1 Ag 3.09
I  0.9949  0.6344  0.8658  1 Ho 3.04, 1 Ag 3.09

# 7
Entry from Alexandria: a relaxed structure of Mg3GaSi (PBE).

Polymorph energy (0 for the lowest one)   0 meV per atom
Calculated volume   25.153 Å³/atom

a = 5.0102 Å, b = 5.0102 Å, c = 5.0102 Å
α = 90.00°, β = 90.00°, γ = 90.00°
Closest atoms and distances in Å follow each position.
Sites, in units of the cell vectors:
Mg  0.0000  0.0000  0.5000  2 Si 2.51
Mg  0.0000  0.5000  0.0000  2 Si 2.51
Mg  0.5000  0.0000  0.0000  2 Si 2.51
Ga  0.5000  0.5000  0.5000  12 Mg 3.54
Si  0.0000  0.0000  0.0000  6 Mg 2.51

# 8
Entry from Alexandria: a relaxed structure of YTiAu4 (PBE).

Calculated volume   19.241 Å³/atom
VASP energy   -5.180 eV/atom

a = 3.5943 Å, b = 3.5943 Å, c = 8.9365 Å
α = 90.00°, β = 90.00°, γ = 90.00°
Closest atoms and distances in Å follow each position.
Sites, in units of the cell vectors:
Y  0.0000  0.0000  0.0000  10 Au 3.01-3.08
Ti  0.5000  0.5000  0.5000  10 Au 2.85-2.90
Au  0.0000  0.0000  0.3447  5 Au 2.78-2.93, 4 Ti 2.90, 1 Y 3.08
Au  0.0000  0.0000  0.6553  5 Au 2.78-2.93, 4 Ti 2.90, 1 Y 3.08
Au  0.5000  0.5000  0.1805  1 Ti 2.85, 4 Au 2.93, 4 Y 3.01
Au  0.5000  0.5000  0.8195  1 Ti 2.85, 4 Au 2.93, 4 Y 3.01

# 9
Entry from Alexandria: a relaxed structure of AcGaBr2 (PBE).

Calculated volume   35.642 Å³/atom
VASP energy   -3.571 eV/atom

a = 10.9539 Å, b = 10.9539 Å, c = 10.9539 Å
α = 20.61°, β = 20.61°, γ = 20.61°
Closest atoms and distances in Å follow each position.
Sites, in units of the cell vectors:
Ac  0.0000  0.0000  0.0000  6 Br 3.19
Ga  0.5000  0.5000  0.5000  2 Br 3.11
Br  0.4033  0.4033  0.4033  1 Ga 3.11, 3 Ac 3.19
Br  0.5967  0.5967  0.5967  1 Ga 3.11, 3 Ac 3.19

# 10
Entry from Alexandria: a relaxed structure of Pr4SmEr (PBE).

Polymorph energy (0 for the lowest one)   0 meV per atom
Calculated volume   34.941 Å³/atom

a = 8.1970 Å, b = 8.1970 Å, c = 5.1882 Å
α = 90.00°, β = 90.00°, γ = 143.03°
Closest atoms and distances in Å follow each position.
Sites, in units of the cell vectors:
Pr  0.1644  0.8356  0.0000  2 Er 3.64, 2 Sm 3.65, 8 Pr 3.67-3.72
Pr  0.3348  0.6652  0.5000  2 Sm 3.65, 2 Er 3.65, 8 Pr 3.67-3.71
Pr  0.6652  0.3348  0.5000  2 Sm 3.65, 2 Er 3.65, 8 Pr 3.67-3.71
Pr  0.8356  0.1644  0.0000  2 Er 3.64, 2 Sm 3.65, 8 Pr 3.67-3.72
Sm  0.5000  0.5000  0.0000  8 Pr 3.65, 4 Er 3.67
Er  0.0000  0.0000  0.5000  8 Pr 3.64-3.65, 4 Sm 3.67

# 11
Entry from Alexandria: a relaxed structure of LaPaCoN4 (PBE).

Calculated volume   12.535 Å³/atom
VASP energy   -8.696 eV/atom

a = 6.7953 Å, b = 6.7953 Å, c = 5.3355 Å
α = 90.00°, β = 90.00°, γ = 134.58°
Closest atoms and distances in Å follow each position.
Sites, in units of the cell vectors:
La  0.1046  0.8954  0.7500  7 N 2.41-2.68
La  0.8954  0.1046  0.2500  7 N 2.41-2.68
Pa  0.3838  0.6162  0.7500  1 N 2.13
Pa  0.6162  0.3838  0.2500  1 N 2.13
Co  0.2390  0.7610  0.2500  5 N 1.88-1.90
Co  0.7610  0.2390  0.7500  5 N 1.88-1.90
N  0.0000  0.5000  0.0000  2 Co 1.88
N  0.0000  0.5000  0.5000  2 Co 1.88
N  0.0875  0.9125  0.2500  1 Co 1.90
N  0.4460  0.5540  0.2500  1 Pa 2.13
N  0.5000  0.0000  0.0000  2 Co 1.88
N  0.5000  0.0000  0.5000  2 Co 1.88
N  0.5540  0.4460  0.7500  1 Pa 2.13
N  0.9125  0.0875  0.7500  1 Co 1.90

# 12
Entry from Alexandria: a relaxed structure of Ti2NiAg2S6 (PBE).

Calculated volume   18.445 Å³/atom
VASP energy   -5.431 eV/atom

a = 6.0442 Å, b = 6.0442 Å, c = 6.4135 Å
α = 90.00°, β = 90.00°, γ = 120.00°
Closest atoms and distances in Å follow each position.
Sites, in units of the cell vectors:
Ti  0.3333  0.6667  0.0000  6 S 2.45
Ti  0.6667  0.3333  0.0000  6 S 2.45
Ni  0.0000  0.0000  0.0000  6 S 2.39
Ag  0.3333  0.6667  0.5000  6 S 2.75
Ag  0.6667  0.3333  0.5000  6 S 2.75
S  0.0000  0.3249  0.7873  1 Ni 2.39, 2 Ti 2.45
S  0.0000  0.6751  0.2127  1 Ni 2.39, 2 Ti 2.45
S  0.3249  0.0000  0.7873  1 Ni 2.39, 2 Ti 2.45
S  0.3249  0.3249  0.2127  1 Ni 2.39, 2 Ti 2.45
S  0.6751  0.0000  0.2127  1 Ni 2.39, 2 Ti 2.45
S  0.6751  0.6751  0.7873  1 Ni 2.39, 2 Ti 2.45